Record 1
The following is a DFT calculation (PBE) of crystalline Tb3Pr2TmS6 at its relaxed geometry.

- uncorrected formation energy (eV/atom) = -1.994
- total magnetic moment (μB/f.u.) = 0.000

abc: 3.955 8.004 8.872
angles: 102.96 102.88 90.00
Fractional positions:
Pr 0.832 0.664 0.664
Pr 0.168 0.336 0.336
Tb 0.500 0.500 0.000
Tb 0.830 0.166 0.660
Tb 0.170 0.834 0.340
S 0.662 0.593 0.325
S 0.663 0.071 0.326
S 0.004 0.759 0.009
S 0.996 0.241 0.991
S 0.338 0.407 0.675
S 0.337 0.929 0.674
Tm 0.500 0.000 0.000

=====

Record 2
The following is a DFT calculation (PBE) of crystalline ZrTeH at its relaxed geometry.

- E_tot (eV per cell) = -67.18
- total magnetic moment (μB/f.u.) = 0.000

abc: 3.643 6.671 10.142
angles: 99.16 100.35 90.00
Fractional positions:
H 0.752 0.874 0.504
H 0.248 0.126 0.496
H 0.754 0.376 0.509
H 0.246 0.624 0.491
Te 0.430 0.216 0.860
Te 0.894 0.701 0.787
Te 0.106 0.299 0.213
Te 0.570 0.784 0.140
Zr 0.690 0.091 0.380
Zr 0.686 0.595 0.372
Zr 0.314 0.405 0.628
Zr 0.310 0.909 0.620

=====

Record 3
The following is a DFT calculation (PBE) of crystalline MgFeIr at its relaxed geometry.

- E_form (eV per atom) = -0.183
- total magnetic moment (μB/f.u.) = 2.211

abc: 5.028 5.028 5.028
angles: 91.90 115.09 122.88
Each line ends with the local moment (μB).
Fractional positions:
Ir 0.500 0.500 0.000  0.14
Ir 0.000 0.500 0.500  0.14
Fe 0.000 0.500 0.000  2.16
Fe 0.500 0.000 0.000  2.16
Mg 0.250 0.127 0.377  -0.02
Mg 0.750 0.873 0.623  -0.02